A geometry-optimized Cs6BiH2 structure, computed with PBE.

Output
Fermi-level density of states (states/eV/atom): 0.3550
Energy (eV/atom): -1.9235
Volume (Å³ per cell): 517.6
ρ (g/cm3): 3.235

Cell lengths 6.5615, 9.1698, 9.9140 Å; angles 74.22, 70.68, 69.04 degrees
Fractional positions:
Cs  0.7341  0.6404  0.8913
Cs  0.2659  0.3596  0.1087
Cs  0.9731  0.8587  0.1950
Cs  0.3509  0.7175  0.5806
Cs  0.0269  0.1413  0.8050
Cs  0.6491  0.2825  0.4194
Bi  0.0000  0.5000  0.5000
H  0.1857  0.7096  0.9190
H  0.8143  0.2904  0.0810